{
  "formula": "GeBAu2",
  "functional": "PBE-GGA",
  "state": "relaxed",
  "lattice_angstrom": [[-2.399, 0.152, 3.816], [-3.950, -2.160, 0.268], [-0.385, -3.686, 2.570]],
  "species": ["Ge", "B", "Au", "Au"],
  "fractional_positions": [[0.500, 0.500, 0.500], [0.000, 0.000, 0.000], [0.250, 0.250, 0.250], [0.750, 0.750, 0.750]],
  "relative_energy_ev_per_atom": 0.4032,
  "e_form_kj_per_mol_fu": 335
}

***

{
  "formula": "GeBAu",
  "functional": "PBE-GGA",
  "state": "relaxed",
  "lattice_angstrom": [[-1.055, 6.888, 8.842], [-1.950, -1.693, 1.086], [4.202, -3.013, 2.848]],
  "species": ["Ge", "Ge", "Ge", "Ge", "B", "B", "B", "B", "Au", "Au", "Au", "Au"],
  "fractional_positions": [[0.181, 0.250, 0.364], [0.319, 0.750, 0.864], [0.819, 0.750, 0.636], [0.681, 0.250, 0.136], [0.830, 0.250, 0.347], [0.670, 0.750, 0.847], [0.170, 0.750, 0.653], [0.330, 0.250, 0.153], [0.023, 0.250, 0.772], [0.477, 0.750, 0.272], [0.977, 0.750, 0.228], [0.523, 0.250, 0.728]],
  "e_form_kj_per_mol_fu": 146
}

***

{
  "formula": "GeBAu",
  "functional": "PBE-GGA",
  "state": "relaxed",
  "lattice_angstrom": [[-0.829, -2.711, -1.461], [-1.600, -2.192, 5.291], [-4.770, 3.327, 3.540]],
  "species": ["Ge", "Ge", "B", "B", "Au", "Au"],
  "fractional_positions": [[0.903, 0.137, 0.342], [0.016, 0.489, 0.945], [0.756, 0.824, 0.042], [0.238, 0.807, 0.024], [0.448, 0.710, 0.445], [0.212, 0.227, 0.724]],
  "e_form_kj_per_mol_fu": 97
}

***

{
  "formula": "GeB3Au",
  "functional": "PBE-GGA",
  "state": "relaxed",
  "lattice_angstrom": [[4.235, 0.000, 0.000], [0.000, 4.235, 0.000], [0.000, 0.000, 4.235]],
  "species": ["Ge", "B", "B", "B", "Au"],
  "fractional_positions": [[0.500, 0.500, 0.500], [0.000, 0.500, 0.000], [0.000, 0.000, 0.500], [0.500, 0.000, 0.000], [0.000, 0.000, 0.000]],
  "relative_energy_ev_per_atom": 0.0000,
  "e_form_kj_per_mol_fu": 886
}

***

{
  "formula": "GeBAu",
  "functional": "PBE-GGA",
  "state": "relaxed",
  "lattice_angstrom": [[2.828, 0.000, 0.000], [-0.001, 7.243, -0.004], [0.000, 1.746, 4.999]],
  "species": ["Ge", "Ge", "B", "B", "Au", "Au"],
  "fractional_positions": [[0.049, 0.187, 0.210], [0.049, 0.544, 0.965], [0.048, 0.746, 0.165], [0.048, 0.985, 0.009], [0.548, 0.642, 0.509], [0.548, 0.089, 0.665]],
  "e_form_kj_per_mol_fu": 102
}

***

{
  "formula": "Rb2GeBAu",
  "functional": "PBE-GGA",
  "state": "relaxed",
  "lattice_angstrom": [[-5.606, 3.821, -0.692], [-2.469, -3.835, -1.176], [-1.517, -1.038, 6.567]],
  "species": ["Ge", "B", "Au", "Rb", "Rb"],
  "fractional_positions": [[0.000, 0.000, 0.000], [0.500, 0.500, 0.500], [0.000, 0.500, 0.000], [0.000, 0.000, 0.500], [0.500, 0.000, 0.000]],
  "e_form_kj_per_mol_fu": 465
}

***

{
  "formula": "GeB2AuSe",
  "functional": "PBE-GGA",
  "state": "relaxed",
  "lattice_angstrom": [[4.096, 0.000, 0.000], [0.000, 5.309, 0.000], [0.000, 0.000, 4.096]],
  "species": ["Ge", "B", "B", "Au", "Se"],
  "fractional_positions": [[0.000, 0.000, 0.000], [0.000, 0.000, 0.500], [0.500, 0.000, 0.000], [0.500, 0.500, 0.500], [0.000, 0.500, 0.000]],
  "raw_formation_energy_mev_per_atom": 1369.9
}

***

{
  "formula": "SrGeBAu2",
  "functional": "PBE-GGA",
  "state": "relaxed",
  "lattice_angstrom": [[4.399, 0.000, 0.000], [0.000, 5.417, 0.000], [0.000, 0.000, 4.399]],
  "species": ["Sr", "Ge", "B", "Au", "Au"],
  "fractional_positions": [[0.000, 0.500, 0.000], [0.500, 0.500, 0.500], [0.000, 0.000, 0.000], [0.000, 0.000, 0.500], [0.500, 0.000, 0.000]],
  "e_form_kj_per_mol_fu": 69
}

***

{
  "formula": "Ta2GeBAu",
  "functional": "PBE-GGA",
  "state": "relaxed",
  "lattice_angstrom": [[4.410, 0.000, 0.000], [0.000, 4.199, 0.000], [0.000, 0.000, 4.410]],
  "species": ["Ge", "B", "Au", "Ta", "Ta"],
  "fractional_positions": [[0.500, 0.500, 0.500], [0.000, 0.000, 0.000], [0.000, 0.500, 0.000], [0.000, 0.000, 0.500], [0.500, 0.000, 0.000]],
  "e_form_kj_per_mol_fu": 116
}

***

{
  "formula": "TiGeB2Au",
  "functional": "PBE-GGA",
  "state": "relaxed",
  "lattice_angstrom": [[-0.906, 1.880, 3.417], [2.551, -3.986, 2.870], [3.436, 2.045, -0.214]],
  "species": ["Ge", "B", "B", "Au", "Ti"],
  "fractional_positions": [[0.500, 0.500, 0.500], [0.000, 0.000, 0.500], [0.500, 0.000, 0.000], [0.000, 0.000, 0.000], [0.000, 0.500, 0.000]],
  "e_form_kj_per_mol_fu": 487
}

***

{
  "formula": "TlGeBAu2",
  "functional": "PBE-GGA",
  "state": "relaxed",
  "lattice_angstrom": [[-4.387, 0.897, 0.527], [0.072, -2.128, 4.225], [1.038, 3.926, 1.960]],
  "species": ["Tl", "B", "Au", "Au", "Ge"],
  "fractional_positions": [[0.500, 0.500, 0.500], [0.000, 0.000, 0.000], [0.000, 0.000, 0.500], [0.500, 0.000, 0.000], [0.000, 0.500, 0.000]],
  "e_form_kj_per_mol_fu": 169
}

***

{
  "formula": "YGeB2Au",
  "functional": "PBE-GGA",
  "state": "relaxed",
  "lattice_angstrom": [[-1.233, -2.659, 2.906], [5.324, -0.185, 2.091], [-0.877, 3.154, 2.514]],
  "species": ["Y", "Ge", "B", "B", "Au"],
  "fractional_positions": [[0.500, 0.500, 0.500], [0.000, 0.500, 0.000], [0.000, 0.000, 0.500], [0.500, 0.000, 0.000], [0.000, 0.000, 0.000]],
  "e_form_kj_per_mol_fu": 352
}

***

{
  "formula": "BHAu3",
  "functional": "PBE-GGA",
  "state": "relaxed",
  "lattice_angstrom": [[-4.153, -0.019, -1.309], [-0.996, -2.780, 3.200], [-0.849, 3.352, 2.647]],
  "species": ["H", "B", "Au", "Au", "Au"],
  "fractional_positions": [[0.500, 0.500, 0.500], [0.000, 0.000, 0.000], [0.000, 0.500, 0.000], [0.000, 0.000, 0.500], [0.500, 0.000, 0.000]],
  "relative_energy_ev_per_atom": 0.0000
}

***

{
  "formula": "B2HAu2",
  "functional": "PBE-GGA",
  "state": "relaxed",
  "lattice_angstrom": [[-0.693, -3.384, -5.237], [1.824, -5.149, 3.086], [-2.876, -0.570, 0.749]],
  "species": ["H", "H", "B", "B", "B", "B", "Au", "Au", "Au", "Au"],
  "fractional_positions": [[0.000, 0.000, 0.000], [0.500, 0.500, 0.000], [0.090, 0.590, 0.500], [0.590, 0.910, 0.500], [0.910, 0.410, 0.500], [0.410, 0.090, 0.500], [0.262, 0.762, 0.000], [0.762, 0.738, 0.000], [0.738, 0.238, 0.000], [0.238, 0.262, 0.000]],
  "relative_energy_ev_per_atom": 0.0000
}

***

{
  "formula": "B3HAu",
  "functional": "PBE-GGA",
  "state": "relaxed",
  "lattice_angstrom": [[-0.664, 3.329, -2.427], [-3.793, 0.465, 1.676], [1.607, 2.473, 2.952]],
  "species": ["H", "B", "B", "B", "Au"],
  "fractional_positions": [[0.500, 0.500, 0.500], [0.000, 0.500, 0.000], [0.000, 0.000, 0.500], [0.500, 0.000, 0.000], [0.000, 0.000, 0.000]],
  "relative_energy_ev_per_atom": 0.3029
}

***

{
  "formula": "BH3Au",
  "functional": "PBE-GGA",
  "state": "relaxed",
  "lattice_angstrom": [[-0.931, -3.520, 0.137], [0.964, -0.119, 3.512], [-3.388, 0.933, 0.962]],
  "species": ["H", "H", "H", "B", "Au"],
  "fractional_positions": [[0.000, 0.500, 0.000], [0.000, 0.000, 0.500], [0.500, 0.000, 0.000], [0.500, 0.500, 0.500], [0.000, 0.000, 0.000]],
  "relative_energy_ev_per_atom": 0.0420
}

***

{
  "formula": "B2HAu",
  "functional": "PBE-GGA",
  "state": "relaxed",
  "lattice_angstrom": [[-2.494, 1.525, 1.868], [1.197, -1.550, 2.863], [2.994, 4.691, 3.389]],
  "species": ["H", "H", "B", "B", "B", "B", "Au", "Au"],
  "fractional_positions": [[0.500, 0.500, 0.000], [0.250, 0.750, 0.500], [0.375, 0.125, 0.250], [0.375, 0.625, 0.250], [0.375, 0.625, 0.750], [0.875, 0.625, 0.750], [0.000, 0.000, 0.000], [0.750, 0.250, 0.500]],
  "relative_energy_ev_per_atom": 0.0000
}

***

{
  "formula": "BHAu2",
  "functional": "PBE-GGA",
  "state": "relaxed",
  "lattice_angstrom": [[4.951, 0.000, 0.000], [0.000, 4.951, 0.000], [2.475, 2.475, 4.476]],
  "species": ["H", "H", "B", "B", "Au", "Au", "Au", "Au"],
  "fractional_positions": [[0.500, 0.500, 0.000], [0.250, 0.750, 0.500], [0.000, 0.000, 0.000], [0.750, 0.250, 0.500], [0.604, 0.125, 0.250], [0.146, 0.625, 0.250], [0.375, 0.396, 0.750], [0.875, 0.854, 0.750]],
  "relative_energy_ev_per_atom": 0.0000
}

***

{
  "formula": "BH3Au",
  "functional": "PBE-GGA",
  "state": "relaxed",
  "lattice_angstrom": [[3.358, 0.000, 0.000], [0.000, 3.358, 0.000], [0.000, 0.000, 3.358]],
  "species": ["H", "H", "H", "B", "Au"],
  "fractional_positions": [[0.000, 0.500, 0.000], [0.000, 0.000, 0.500], [0.500, 0.000, 0.000], [0.000, 0.000, 0.000], [0.500, 0.500, 0.500]],
  "relative_energy_ev_per_atom": 0.0000
}

***

{
  "formula": "BHAu2",
  "functional": "PBE-GGA",
  "state": "relaxed",
  "lattice_angstrom": [[0.000, 2.876, 2.876], [2.876, 0.000, 2.876], [2.876, 2.876, 0.000]],
  "species": ["H", "B", "Au", "Au"],
  "fractional_positions": [[0.000, 0.000, 0.000], [0.500, 0.500, 0.500], [0.250, 0.250, 0.250], [0.750, 0.750, 0.750]],
  "relative_energy_ev_per_atom": 0.4782
}

***

Number 1: magnetic moment 0.00 μB per atom. Number 2: magnetic moment 0.00 μB per atom. Number 3: magnetic moment 0.00 μB per atom. Number 4: magnetic moment 0.00 μB per atom. Number 5: magnetic moment 0.00 μB per atom. Number 6: magnetic moment 0.28 μB per atom. Number 7: magnetic moment 0.00 μB per atom. Number 8: magnetic moment 0.00 μB per atom. Number 9: magnetic moment 0.00 μB per atom. Number 10: magnetic moment 0.00 μB per atom. Number 11: magnetic moment 0.00 μB per atom. Number 12: magnetic moment 0.00 μB per atom. Number 13: magnetic moment 0.20 μB per atom. Number 14: magnetic moment 0.00 μB per atom. Number 15: magnetic moment 0.00 μB per atom. Number 16: magnetic moment 0.00 μB per atom. Number 17: magnetic moment 0.00 μB per atom. Number 18: magnetic moment 0.00 μB per atom. Number 19: magnetic moment 0.00 μB per atom. Number 20: magnetic moment 0.00 μB per atom.